Entry 1:
This record from Alexandria via LeMat-Bulk describes a relaxed AcTbPr5Sm2 crystal. The functional is PBE.

Properties
DFT formation energy (kJ/mol of formula units): 223.4
VASP energy (eV/atom): -4.42
SG: No. 140

Cell and atoms, written as POSCAR:
```
AcTbPr5Sm2
1.0
9.1392 0.0000 0.0000
0.0000 9.1392 0.0000
-4.5696 -4.5696 7.8929
Sm Pr Ac Tb
4 10 2 2
direct
0.1151 0.3849 0.0000 Sm
0.8849 0.6151 0.0000 Sm
0.6151 0.1151 0.0000 Sm
0.3849 0.8849 0.0000 Sm
0.0701 0.5701 0.7355 Pr
0.5000 0.5000 0.0000 Pr
0.5701 0.6654 0.7355 Pr
0.9299 0.4299 0.2645 Pr
0.1654 0.0701 0.7355 Pr
0.0000 0.0000 0.0000 Pr
0.4299 0.3346 0.2645 Pr
0.6654 0.1654 0.7355 Pr
0.8346 0.9299 0.2645 Pr
0.3346 0.8346 0.2645 Pr
0.7500 0.7500 0.5000 Ac
0.2500 0.2500 0.5000 Ac
0.2500 0.7500 0.5000 Tb
0.7500 0.2500 0.5000 Tb
```

Entry 2:
This record from Alexandria via LeMat-Bulk describes a relaxed AcTbPrSm2 crystal. The functional is PBE.

Properties
DFT formation energy (kJ/mol of formula units): 178.4
VASP energy (eV/atom): -4.22
SG: No. 63

Cell and atoms, written as POSCAR:
```
AcTbPrSm2
1.0
6.5912 0.0000 0.0000
0.0000 6.5853 0.0000
0.0000 -3.2927 8.8061
Ac Tb Sm Pr
2 2 4 2
direct
0.2500 0.6591 0.3182 Ac
0.7500 0.3409 0.6818 Ac
0.2500 0.2507 0.5013 Tb
0.7500 0.7493 0.4987 Tb
0.5000 0.7513 0.0000 Sm
0.0000 0.7513 0.0000 Sm
0.0000 0.2487 0.0000 Sm
0.5000 0.2487 0.0000 Sm
0.2500 0.8471 0.6942 Pr
0.7500 0.1529 0.3058 Pr
```